# RbBeBiSe2

A relaxed structure of RbBeBiSe2 (PBE-GGA, Alexandria via LeMat-Bulk).

Lattice parameters (Å, degrees): 5.863 4.953 5.863 90.00 90.00 90.00
Fractional positions:
Se  0.500  0.000  0.000
Se  0.000  0.000  0.500
Rb  0.000  0.000  0.000
Bi  0.500  0.500  0.500
Be  0.000  0.500  0.000

Calculated values
Symmetry ... P4/mmm, No. 123
Energy relative to the elements, uncorrected ... 1.276 eV/atom

=====

# RbBeBi2Se

A relaxed structure of RbBeBi2Se (PBE-GGA, Alexandria via LeMat-Bulk).

Lattice parameters (Å, degrees): 6.207 4.276 6.207 90.00 90.00 90.00
Fractional positions:
Bi  0.000  0.000  0.500
Bi  0.500  0.000  0.000
Se  0.000  0.000  0.000
Be  0.000  0.500  0.000
Rb  0.500  0.500  0.500

Calculated values
Symmetry ... P4/mmm, No. 123
Energy relative to the elements, uncorrected ... 0.337 eV/atom

=====

# RbBe2SiBi

A relaxed structure of RbBe2SiBi (PBE-GGA, Alexandria via LeMat-Bulk).

Lattice parameters (Å, degrees): 5.145 5.561 5.145 90.00 90.00 90.00
Fractional positions:
Bi  0.500  0.500  0.500
Si  0.000  0.500  0.000
Be  0.000  0.000  0.500
Be  0.500  0.000  0.000
Rb  0.000  0.000  0.000

Calculated values
Symmetry ... P4/mmm, No. 123
Energy relative to the elements, uncorrected ... 2.142 eV/atom

=====

# Be3ReBi

A relaxed structure of Be3ReBi (PBE-GGA, Alexandria via LeMat-Bulk).

Lattice parameters (Å, degrees): 4.368 4.368 4.368 90.00 90.00 90.00
Fractional positions:
Be  0.000  0.500  0.000
Be  0.500  0.000  0.000
Be  0.000  0.000  0.500
Bi  0.500  0.500  0.500
Re  0.000  0.000  0.000

Calculated values
Relative energy among the computed polymorphs ... 0.00 eV/f.u.
Symmetry ... Pm-3m, No. 221

=====

# BeRe2Bi2

A relaxed structure of BeRe2Bi2 (PBE-GGA, Alexandria via LeMat-Bulk).

Lattice parameters (Å, degrees): 3.611 3.611 8.807 78.17 78.17 90.00
Fractional positions:
Re  0.250  0.750  0.500
Re  0.750  0.250  0.500
Bi  0.606  0.606  0.789
Bi  0.394  0.394  0.211
Be  0.000  0.000  0.000

Calculated values
Relative energy among the computed polymorphs ... 0.00 eV/f.u.
Symmetry ... I4/mmm, No. 139

=====

# BeRe3Bi

A relaxed structure of BeRe3Bi (PBE-GGA, Alexandria via LeMat-Bulk).

Lattice parameters (Å, degrees): 4.317 4.317 4.317 90.00 90.00 90.00
Fractional positions:
Re  0.000  0.000  0.500
Re  0.500  0.000  0.000
Re  0.000  0.500  0.000
Be  0.000  0.000  0.000
Bi  0.500  0.500  0.500

Calculated values
Relative energy among the computed polymorphs ... 0.00 eV/f.u.
Symmetry ... Pm-3m, No. 221

=====

# BeRe2Bi

A relaxed structure of BeRe2Bi (PBE-GGA, Alexandria via LeMat-Bulk).

Lattice parameters (Å, degrees): 4.071 4.071 9.386 77.48 77.48 90.00
Fractional positions:
Bi  0.000  0.000  0.000
Bi  0.750  0.250  0.500
Re  0.875  0.787  0.750
Re  0.213  0.625  0.250
Re  0.537  0.125  0.250
Re  0.375  0.463  0.750
Be  0.500  0.500  0.000
Be  0.250  0.750  0.500

Calculated values
Relative energy among the computed polymorphs ... 0.00 eV/f.u.
Symmetry ... I-42d, No. 122

=====

# BeRe3Bi

A relaxed structure of BeRe3Bi (PBE-GGA, Alexandria via LeMat-Bulk).

Lattice parameters (Å, degrees): 4.968 4.968 4.968 90.00 90.00 90.00
Fractional positions:
Re  0.500  0.000  0.000
Re  0.000  0.000  0.500
Re  0.000  0.500  0.000
Be  0.500  0.500  0.500
Bi  0.000  0.000  0.000

Calculated values
Relative energy among the computed polymorphs ... 11.89 eV/f.u.
Symmetry ... Pm-3m, No. 221

=====

For each record above, in turn, the calculated raw total energy values are -1.83; -2.85; -1.40; -4.67; -6.33; -7.86; -7.34; -5.48 eV/atom.
For each record above, in turn, the calculated volume values are 34.1; 32.9; 29.4; 16.7; 22.0; 16.1; 18.5; 24.5 Å³/atom.